{"formula": "Ag6SnSb", "functional": "PBE-GGA", "state": "optimized geometry", "dos_at_fermi_per_ev_atom": 0.231, "raw_formation_energy_mev_per_atom": 18, "total_energy_ev_per_cell": -25.1, "relative_energy_ev_per_atom": 0.006, "sg": "P4/mmm (123)", "lattice": [[4.2688, 0.0000, 0.0000], [0.0000, 4.2688, 0.0000], [0.0000, 0.0000, 8.6086]], "species": ["Sn", "Ag", "Ag", "Ag", "Ag", "Ag", "Ag", "Sb"], "frac_coords": [[0.0000, 0.0000, 0.0000], [0.5000, 0.0000, 0.7524], [0.5000, 0.5000, 0.0000], [0.5000, 0.0000, 0.2476], [0.0000, 0.5000, 0.7524], [0.0000, 0.5000, 0.2476], [0.5000, 0.5000, 0.5000], [0.0000, 0.0000, 0.5000]]}